# 1
## NaTi3Nb (GGA-PBE)

Data for crystalline NaTi3Nb at its relaxed geometry.

Calculated values
Fermi-level density of states   2.01 states/eV per atom

The structure in CIF format:
```
data_NaTi3Nb
_symmetry_space_group_name_H-M 'P m -3 m'
_symmetry_Int_Tables_number 221
_symmetry_space_group_name_Hall '-P 4 2 3'
_cell_length_a 4.607
_cell_length_b 4.607
_cell_length_c 4.607
_cell_angle_alpha 90.00
_cell_angle_beta 90.00
_cell_angle_gamma 90.00
loop_
_atom_site_label
_atom_site_type_symbol
_atom_site_fract_x
_atom_site_fract_y
_atom_site_fract_z
Na1 Na 0.000 0.000 0.000
Ti1 Ti 0.000 0.000 0.500
Nb1 Nb 0.500 0.500 0.500
```



# 2
## Na3TiNb (GGA-PBE)

Data for crystalline Na3TiNb at its relaxed geometry.

Calculated values
E above lowest polymorph   0.00 eV/f.u.
Fermi-level density of states   1.60 states/eV per atom

The structure in CIF format:
```
data_Na3TiNb
_symmetry_space_group_name_H-M 'P m -3 m'
_symmetry_Int_Tables_number 221
_symmetry_space_group_name_Hall '-P 4 2 3'
_cell_length_a 5.715
_cell_length_b 5.715
_cell_length_c 5.715
_cell_angle_alpha 90.00
_cell_angle_beta 90.00
_cell_angle_gamma 90.00
loop_
_atom_site_label
_atom_site_type_symbol
_atom_site_fract_x
_atom_site_fract_y
_atom_site_fract_z
Na1 Na 0.000 0.000 0.500
Ti1 Ti 0.500 0.500 0.500
Nb1 Nb 0.000 0.000 0.000
```



# 3
## Na2TiNb2 (GGA-PBE)

Data for crystalline Na2TiNb2 at its relaxed geometry.

Calculated values
E above lowest polymorph   0.00 eV/f.u.
Fermi-level density of states   1.27 states/eV per atom

The structure in CIF format:
```
data_Na2TiNb2
_symmetry_space_group_name_H-M 'I 4/m m m'
_symmetry_Int_Tables_number 139
_symmetry_space_group_name_Hall '-I 4 2'
_cell_length_a 3.747
_cell_length_b 3.747
_cell_length_c 15.537
_cell_angle_alpha 90.00
_cell_angle_beta 90.00
_cell_angle_gamma 90.00
loop_
_atom_site_label
_atom_site_type_symbol
_atom_site_fract_x
_atom_site_fract_y
_atom_site_fract_z
Na1 Na 0.000 0.500 0.250
Ti1 Ti 0.000 0.000 0.000
Nb1 Nb 0.000 0.000 0.423
```



# 4
## Na2Ti2Nb (GGA-PBE)

Data for crystalline Na2Ti2Nb at its relaxed geometry.

Calculated values
E above lowest polymorph   2.36 eV/f.u.
Fermi-level density of states   1.26 states/eV per atom

The structure in CIF format:
```
data_Na2Ti2Nb
_symmetry_space_group_name_H-M 'P 4/m b m'
_symmetry_Int_Tables_number 127
_symmetry_space_group_name_Hall '-P 4 2ab'
_cell_length_a 8.215
_cell_length_b 8.215
_cell_length_c 2.949
_cell_angle_alpha 90.00
_cell_angle_beta 90.00
_cell_angle_gamma 90.00
loop_
_atom_site_label
_atom_site_type_symbol
_atom_site_fract_x
_atom_site_fract_y
_atom_site_fract_z
Na1 Na 0.166 0.334 0.000
Ti1 Ti 0.135 0.635 0.500
Nb1 Nb 0.000 0.000 0.500
```



# 5
## Na2TiNb2 (GGA-PBE)

Data for crystalline Na2TiNb2 at its relaxed geometry.

Calculated values
E above lowest polymorph   1.72 eV/f.u.
Fermi-level density of states   0.88 states/eV per atom

The structure in CIF format:
```
data_Na2TiNb2
_symmetry_space_group_name_H-M 'P 4/m b m'
_symmetry_Int_Tables_number 127
_symmetry_space_group_name_Hall '-P 4 2ab'
_cell_length_a 8.885
_cell_length_b 8.885
_cell_length_c 2.776
_cell_angle_alpha 90.00
_cell_angle_beta 90.00
_cell_angle_gamma 90.00
loop_
_atom_site_label
_atom_site_type_symbol
_atom_site_fract_x
_atom_site_fract_y
_atom_site_fract_z
Na1 Na 0.196 0.304 0.000
Ti1 Ti 0.000 0.000 0.500
Nb1 Nb 0.099 0.599 0.500
```



# 6
## Na2Ti2Nb (GGA-PBE)

Data for crystalline Na2Ti2Nb at its relaxed geometry.

Calculated values
E above lowest polymorph   0.00 eV/f.u.
Fermi-level density of states   0.83 states/eV per atom

The structure in CIF format:
```
data_Na2Ti2Nb
_symmetry_space_group_name_H-M 'I 4/m m m'
_symmetry_Int_Tables_number 139
_symmetry_space_group_name_Hall '-I 4 2'
_cell_length_a 3.599
_cell_length_b 3.599
_cell_length_c 16.365
_cell_angle_alpha 90.00
_cell_angle_beta 90.00
_cell_angle_gamma 90.00
loop_
_atom_site_label
_atom_site_type_symbol
_atom_site_fract_x
_atom_site_fract_y
_atom_site_fract_z
Na1 Na 0.000 0.500 0.250
Ti1 Ti 0.000 0.000 0.078
Nb1 Nb 0.000 0.000 0.500
```



# 7
## Na2TiNb (GGA-PBE)

Data for crystalline Na2TiNb at its relaxed geometry.

Calculated values
E above lowest polymorph   0.00 eV/f.u.
Fermi-level density of states   0.92 states/eV per atom

The structure in CIF format:
```
data_Na2TiNb
_symmetry_space_group_name_H-M 'I -4 2 d'
_symmetry_Int_Tables_number 122
_symmetry_space_group_name_Hall 'I -4 2bw'
_cell_length_a 8.402
_cell_length_b 8.402
_cell_length_c 5.016
_cell_angle_alpha 90.00
_cell_angle_beta 90.00
_cell_angle_gamma 90.00
loop_
_atom_site_label
_atom_site_type_symbol
_atom_site_fract_x
_atom_site_fract_y
_atom_site_fract_z
Na1 Na 0.242 0.250 0.125
Ti1 Ti 0.000 0.000 0.000
Nb1 Nb 0.000 0.000 0.500
```



# 8
## Na2NbTl (GGA-PBE)

Data for crystalline Na2NbTl at its relaxed geometry.

Calculated values
E above lowest polymorph   0.00 eV/f.u.
Fermi-level density of states   1.17 states/eV per atom

The structure in CIF format:
```
data_Na2NbTl
_symmetry_space_group_name_H-M 'F m -3 m'
_symmetry_Int_Tables_number 225
_symmetry_space_group_name_Hall '-F 4 2 3'
_cell_length_a 7.313
_cell_length_b 7.313
_cell_length_c 7.313
_cell_angle_alpha 90.00
_cell_angle_beta 90.00
_cell_angle_gamma 90.00
loop_
_atom_site_label
_atom_site_type_symbol
_atom_site_fract_x
_atom_site_fract_y
_atom_site_fract_z
Na1 Na 0.250 0.250 0.250
Nb1 Nb 0.000 0.000 0.000
Tl1 Tl 0.000 0.000 0.500
```



# 9
## NaNb2Tl (GGA-PBE)

Data for crystalline NaNb2Tl at its relaxed geometry.

Calculated values
E above lowest polymorph   0.00 eV/f.u.
Fermi-level density of states   1.10 states/eV per atom

The structure in CIF format:
```
data_NaNb2Tl
_symmetry_space_group_name_H-M 'F m -3 m'
_symmetry_Int_Tables_number 225
_symmetry_space_group_name_Hall '-F 4 2 3'
_cell_length_a 6.843
_cell_length_b 6.843
_cell_length_c 6.843
_cell_angle_alpha 90.00
_cell_angle_beta 90.00
_cell_angle_gamma 90.00
loop_
_atom_site_label
_atom_site_type_symbol
_atom_site_fract_x
_atom_site_fract_y
_atom_site_fract_z
Na1 Na 0.000 0.000 0.000
Nb1 Nb 0.250 0.250 0.250
Tl1 Tl 0.000 0.000 0.500
```



# 10
## Na2NbTl (GGA-PBE)

Data for crystalline Na2NbTl at its relaxed geometry.

Calculated values
E above lowest polymorph   0.02 eV/f.u.
Fermi-level density of states   1.06 states/eV per atom

The structure in CIF format:
```
data_Na2NbTl
_symmetry_space_group_name_H-M 'I -4 2 d'
_symmetry_Int_Tables_number 122
_symmetry_space_group_name_Hall 'I -4 2bw'
_cell_length_a 8.630
_cell_length_b 8.630
_cell_length_c 5.893
_cell_angle_alpha 90.00
_cell_angle_beta 90.00
_cell_angle_gamma 90.00
loop_
_atom_site_label
_atom_site_type_symbol
_atom_site_fract_x
_atom_site_fract_y
_atom_site_fract_z
Na1 Na 0.235 0.250 0.125
Nb1 Nb 0.000 0.000 0.500
Tl1 Tl 0.000 0.000 0.000
```



# 11
## NaNb3Tl (GGA-PBE)

Data for crystalline NaNb3Tl at its relaxed geometry.

Calculated values
E above lowest polymorph   0.69 eV/f.u.
Fermi-level density of states   2.99 states/eV per atom

The structure in CIF format:
```
data_NaNb3Tl
_symmetry_space_group_name_H-M 'P m -3 m'
_symmetry_Int_Tables_number 221
_symmetry_space_group_name_Hall '-P 4 2 3'
_cell_length_a 5.227
_cell_length_b 5.227
_cell_length_c 5.227
_cell_angle_alpha 90.00
_cell_angle_beta 90.00
_cell_angle_gamma 90.00
loop_
_atom_site_label
_atom_site_type_symbol
_atom_site_fract_x
_atom_site_fract_y
_atom_site_fract_z
Na1 Na 0.000 0.000 0.000
Nb1 Nb 0.000 0.500 0.500
Tl1 Tl 0.500 0.500 0.500
```



# 12
## NaNbTl2 (GGA-PBE)

Data for crystalline NaNbTl2 at its relaxed geometry.

Calculated values
Fermi-level density of states   0.98 states/eV per atom

The structure in CIF format:
```
data_NaNbTl2
_symmetry_space_group_name_H-M 'R -3 m'
_symmetry_Int_Tables_number 166
_symmetry_space_group_name_Hall '-R 3 2"'
_cell_length_a 3.2233
_cell_length_b 3.2233
_cell_length_c 33.6391
_cell_angle_alpha 90.00
_cell_angle_beta 90.00
_cell_angle_gamma 120.00
loop_
_atom_site_label
_atom_site_type_symbol
_atom_site_fract_x
_atom_site_fract_y
_atom_site_fract_z
Na1 Na 0.0000 0.0000 0.0000
Nb1 Nb 0.0000 0.0000 0.5000
Tl1 Tl 0.0000 0.0000 0.4143
```



# 13
## NaNb2Tl (GGA-PBE)

Data for crystalline NaNb2Tl at its relaxed geometry.

Calculated values
E above lowest polymorph   0.57 eV/f.u.
Fermi-level density of states   0.73 states/eV per atom

The structure in CIF format:
```
data_NaNb2Tl
_symmetry_space_group_name_H-M 'I -4 2 d'
_symmetry_Int_Tables_number 122
_symmetry_space_group_name_Hall 'I -4 2bw'
_cell_length_a 8.062
_cell_length_b 8.062
_cell_length_c 5.410
_cell_angle_alpha 90.00
_cell_angle_beta 90.00
_cell_angle_gamma 90.00
loop_
_atom_site_label
_atom_site_type_symbol
_atom_site_fract_x
_atom_site_fract_y
_atom_site_fract_z
Na1 Na 0.000 0.000 0.000
Nb1 Nb 0.239 0.750 0.625
Tl1 Tl 0.000 0.000 0.500
```



# 14
## NaNb3Tl (GGA-PBE)

Data for crystalline NaNb3Tl at its relaxed geometry.

Calculated values
E above lowest polymorph   0.00 eV/f.u.
Fermi-level density of states   1.14 states/eV per atom

The structure in CIF format:
```
data_NaNb3Tl
_symmetry_space_group_name_H-M 'P m -3 m'
_symmetry_Int_Tables_number 221
_symmetry_space_group_name_Hall '-P 4 2 3'
_cell_length_a 4.736
_cell_length_b 4.736
_cell_length_c 4.736
_cell_angle_alpha 90.00
_cell_angle_beta 90.00
_cell_angle_gamma 90.00
loop_
_atom_site_label
_atom_site_type_symbol
_atom_site_fract_x
_atom_site_fract_y
_atom_site_fract_z
Na1 Na 0.000 0.000 0.000
Nb1 Nb 0.000 0.000 0.500
Tl1 Tl 0.500 0.500 0.500
```



# 15
## Na2NbTlW (GGA-PBE)

Data for crystalline Na2NbTlW at its relaxed geometry.

Calculated values
Fermi-level density of states   0.74 states/eV per atom

The structure in CIF format:
```
data_Na2NbTlW
_symmetry_space_group_name_H-M 'P 4/m m m'
_symmetry_Int_Tables_number 123
_symmetry_space_group_name_Hall '-P 4 2'
_cell_length_a 5.730
_cell_length_b 5.730
_cell_length_c 4.707
_cell_angle_alpha 90.00
_cell_angle_beta 90.00
_cell_angle_gamma 90.00
loop_
_atom_site_label
_atom_site_type_symbol
_atom_site_fract_x
_atom_site_fract_y
_atom_site_fract_z
Na1 Na 0.000 0.500 0.000
Nb1 Nb 0.000 0.000 0.500
Tl1 Tl 0.500 0.500 0.500
W1 W 0.000 0.000 0.000
```



# 16
## NaNbV2 (GGA-PBE)

Data for crystalline NaNbV2 at its relaxed geometry.

Calculated values
E above lowest polymorph   1.30 eV/f.u.
Fermi-level density of states   0.98 states/eV per atom

The structure in CIF format:
```
data_NaNbV2
_symmetry_space_group_name_H-M 'I -4 2 d'
_symmetry_Int_Tables_number 122
_symmetry_space_group_name_Hall 'I -4 2bw'
_cell_length_a 3.834
_cell_length_b 3.834
_cell_length_c 18.854
_cell_angle_alpha 90.00
_cell_angle_beta 90.00
_cell_angle_gamma 90.00
loop_
_atom_site_label
_atom_site_type_symbol
_atom_site_fract_x
_atom_site_fract_y
_atom_site_fract_z
Na1 Na 0.000 0.000 0.000
Nb1 Nb 0.000 0.000 0.500
V1 V 0.220 0.250 0.625
```



# 17
## NaNb2V (GGA-PBE)

Data for crystalline NaNb2V at its relaxed geometry.

Calculated values
E above lowest polymorph   1.36 eV/f.u.
Fermi-level density of states   1.11 states/eV per atom

The structure in CIF format:
```
data_NaNb2V
_symmetry_space_group_name_H-M 'I -4 2 d'
_symmetry_Int_Tables_number 122
_symmetry_space_group_name_Hall 'I -4 2bw'
_cell_length_a 3.941
_cell_length_b 3.941
_cell_length_c 19.873
_cell_angle_alpha 90.00
_cell_angle_beta 90.00
_cell_angle_gamma 90.00
loop_
_atom_site_label
_atom_site_type_symbol
_atom_site_fract_x
_atom_site_fract_y
_atom_site_fract_z
Na1 Na 0.000 0.000 0.000
Nb1 Nb 0.232 0.250 0.625
V1 V 0.000 0.000 0.500
```



# 18
## NaNb2V (GGA-PBE)

Data for crystalline NaNb2V at its relaxed geometry.

Calculated values
E above lowest polymorph   0.00 eV/f.u.
Fermi-level density of states   1.23 states/eV per atom

The structure in CIF format:
```
data_NaNb2V
_symmetry_space_group_name_H-M 'F m -3 m'
_symmetry_Int_Tables_number 225
_symmetry_space_group_name_Hall '-F 4 2 3'
_cell_length_a 6.535
_cell_length_b 6.535
_cell_length_c 6.535
_cell_angle_alpha 90.00
_cell_angle_beta 90.00
_cell_angle_gamma 90.00
loop_
_atom_site_label
_atom_site_type_symbol
_atom_site_fract_x
_atom_site_fract_y
_atom_site_fract_z
Na1 Na 0.000 0.000 0.000
Nb1 Nb 0.250 0.250 0.250
V1 V 0.000 0.000 0.500
```



# 19
## Na3NbV (GGA-PBE)

Data for crystalline Na3NbV at its relaxed geometry.

Calculated values
Fermi-level density of states   1.72 states/eV per atom

The structure in CIF format:
```
data_Na3NbV
_symmetry_space_group_name_H-M 'P m -3 m'
_symmetry_Int_Tables_number 221
_symmetry_space_group_name_Hall '-P 4 2 3'
_cell_length_a 5.562
_cell_length_b 5.562
_cell_length_c 5.562
_cell_angle_alpha 90.00
_cell_angle_beta 90.00
_cell_angle_gamma 90.00
loop_
_atom_site_label
_atom_site_type_symbol
_atom_site_fract_x
_atom_site_fract_y
_atom_site_fract_z
Na1 Na 0.000 0.000 0.500
Nb1 Nb 0.500 0.500 0.500
V1 V 0.000 0.000 0.000
```



# 20
## NaNbV2 (GGA-PBE)

Data for crystalline NaNbV2 at its relaxed geometry.

Calculated values
E above lowest polymorph   0.00 eV/f.u.
Fermi-level density of states   1.55 states/eV per atom

The structure in CIF format:
```
data_NaNbV2
_symmetry_space_group_name_H-M 'F m -3 m'
_symmetry_Int_Tables_number 225
_symmetry_space_group_name_Hall '-F 4 2 3'
_cell_length_a 6.438
_cell_length_b 6.438
_cell_length_c 6.438
_cell_angle_alpha 90.00
_cell_angle_beta 90.00
_cell_angle_gamma 90.00
loop_
_atom_site_label
_atom_site_type_symbol
_atom_site_fract_x
_atom_site_fract_y
_atom_site_fract_z
Na1 Na 0.000 0.000 0.000
Nb1 Nb 0.000 0.000 0.500
V1 V 0.250 0.250 0.250
```



Calculated values (eV for the cell shown) of raw total energy for the records, taken in order: -26.8, -13.1, -53.2, -45.6, -49.7, -50.3, -63.6, -46.5, -81.3, -46.4, -23.7, -42.4, -79.0, -24.4, -21.1, -99.0, -104.1, -109.6, -14.0, -104.2.